# Na2ICl

A relaxed structure of Na2ICl (PBE-GGA, the Alexandria database).

## Properties
- D(E_F) (states/eV/f.u.) = 0.00
- symmetry = No. 59
- size of the total moment (μB per cell) = 0.0
- electronic total energy (eV per atom) = -2.9949
- theoretical density (g cm⁻³) = 3.0

Lattice parameters (Å, degrees): 4.2741 7.2667 7.3981 90.00 90.00 90.00
Atoms (fractional coordinates):
Na1 0.2500 0.4912 0.2205
Na2 0.7500 0.5088 0.7795
Na3 0.7500 0.9912 0.7795
Na4 0.2500 0.0088 0.2205
I1 0.2500 0.2500 0.5884
I2 0.7500 0.7500 0.4116
Cl1 0.7500 0.2500 0.0770
Cl2 0.2500 0.7500 0.9230